# CsMn2BiO8

Crystalline CsMn2BiO8 at its relaxed geometry (GGA+U, Alexandria via LeMat-Bulk).

abc: 5.441 5.441 8.959
angles: 90.00 90.00 120.00
Last column: magnetic moment on the atom in μB.
Sites, in units of the cell vectors:
Cs (0.000, 0.000, 0.000)  0.00
Mn (0.667, 0.333, 0.278)  1.39
Mn (0.333, 0.667, 0.722)  1.39
Bi (0.000, 0.000, 0.500)  0.03
O (0.333, 0.667, 0.904)  -0.10
O (0.361, 0.303, 0.342)  -0.09
O (0.697, 0.057, 0.342)  -0.09
O (0.667, 0.333, 0.096)  -0.10
O (0.303, 0.943, 0.658)  -0.09
O (0.639, 0.697, 0.658)  -0.09
O (0.057, 0.361, 0.658)  -0.09
O (0.943, 0.639, 0.342)  -0.09

Results
Density of states at the Fermi level, states/eV/f.u.: 7.45
Crystal system: trigonal
Calculated density, g cm⁻³: 4.192
Symmetry: P-3
Electronic total energy, eV/cell: -71.05
Total moment, μB per formula unit: 2.00